Below is a relaxed NdIn6Hg12 crystal, with properties calculated at the PBE-GGA level.

Summary:
Its calculated total energy is -25.7 eV for the cell shown. The energy relative to the elements comes out at -47 meV/atom. Its total magnetic moment is 0.0000 μB per atom.

Cell lengths 8.025, 8.025, 8.025 Å; angles 91.71, 91.71, 91.71 degrees
Atoms (fractional coordinates):
Nd  0.000  0.000  0.000
In  0.145  0.714  0.259
In  0.259  0.145  0.714
In  0.286  0.741  0.855
In  0.714  0.259  0.145
In  0.741  0.855  0.286
In  0.855  0.286  0.741
Hg  0.044  0.157  0.378
Hg  0.157  0.378  0.044
Hg  0.193  0.484  0.553
Hg  0.378  0.044  0.157
Hg  0.447  0.807  0.516
Hg  0.484  0.553  0.193
Hg  0.516  0.447  0.807
Hg  0.553  0.193  0.484
Hg  0.622  0.956  0.843
Hg  0.807  0.516  0.447
Hg  0.843  0.622  0.956
Hg  0.956  0.843  0.622

---

Below is a relaxed RbSrGa3 crystal, with properties calculated at the PBE-GGA level.

Summary:
Its calculated total energy is -9.2 eV for the cell shown. The energy relative to the elements comes out at 499 meV/atom. Its total magnetic moment is 0.0000 μB per atom.

Cell lengths 6.048, 6.048, 6.048 Å; angles 90.00, 90.00, 90.00 degrees
Atoms (fractional coordinates):
Rb  0.000  0.000  0.000
Sr  0.500  0.500  0.500
Ga  0.000  0.500  0.500
Ga  0.500  0.000  0.500
Ga  0.500  0.500  0.000

---

Below is a relaxed TcHgGeOsW crystal, with properties calculated at the PBE-GGA level.

Summary:
Its calculated total energy is -37.8 eV for the cell shown. The energy relative to the elements comes out at 338 meV/atom. Its total magnetic moment is 0.0000 μB per atom.

Cell lengths 7.452, 7.452, 4.245 Å; angles 98.48, 98.48, 23.30 degrees
Atoms (fractional coordinates):
Tc  0.000  0.000  0.000
Hg  0.320  0.320  0.906
Ge  0.487  0.487  0.492
Os  0.137  0.137  0.558
W  0.655  0.655  0.078